# 1
Compound: Ag2Sn2Cl7
Source: the Alexandria database
Functional: GGA-PBE
Structure: relaxed

The structure belongs to space group C2/m (No. 12); the cell edges are 8.687, 11.208 and 7.744 Å and the angles 90.00°, 98.21° and 90.00°. The asymmetric unit holds Ag at (0.000, 0.173, 0.000), Sn at (0.234, 0.000, 0.624), Cl at (0.000, 0.500, 0.500), Cl at (0.057, 0.000, 0.239) and Cl at (0.195, 0.323, 0.178).

The total energy is -3.116 eV/atom. The value obtained for the raw formation energy is -0.694 eV/atom. Its volume is 746.31 Å³/cell. As for the size of the total moment: 0.00 μB per cell.

=====

# 2
Compound: AgSn3Cl7
Source: the Alexandria database
Functional: GGA-PBE
Structure: relaxed

The structure belongs to space group P2_1 (No. 4); the cell edges are 8.202, 10.125 and 8.918 Å and the angles 90.00°, 105.57° and 90.00°. The asymmetric unit holds Ag at (0.010, 0.000, 0.056), Sn at (0.003, 0.274, 0.572), Sn at (0.385, 0.465, 0.402), Sn at (0.411, 0.200, 0.988), Cl at (0.069, 0.514, 0.671), Cl at (0.072, 0.236, 0.922), Cl at (0.078, 0.364, 0.312), Cl at (0.317, 0.197, 0.651), Cl at (0.319, 0.544, 0.115), Cl at (0.334, 0.969, 0.068) and Cl at (0.459, 0.765, 0.664).

The total energy is -3.408 eV/atom. The value obtained for the raw formation energy is -0.882 eV/atom. Its volume is 713.39 Å³/cell. As for the size of the total moment: 0.00 μB per cell.

=====

# 3
Compound: Ag6SnCl12
Source: the Alexandria database
Functional: GGA-PBE
Structure: relaxed

The structure belongs to space group R-3 (No. 148, hexagonal axes); the cell edges are 11.4080, 11.4080 and 13.4926 Å and the angles 90.00°, 90.00° and 120.00°. The asymmetric unit holds Ag at (0.0186, 0.7635, 0.1419), Sn at (0.0000, 0.0000, 0.5000), Cl at (0.0047, 0.8275, 0.3909) and Cl at (0.0108, 0.8142, 0.8775).

The total energy is -2.815 eV/atom. The value obtained for the raw formation energy is -0.537 eV/atom. Its volume is 1520.71 Å³/cell. As for the size of the total moment: 0.00 μB per cell.

=====

# 4
Compound: AgSn2Cl5
Source: the Alexandria database
Functional: GGA-PBE
Structure: relaxed

The structure belongs to space group C2/c (No. 15); the cell edges are 21.268, 8.552 and 13.371 Å and the angles 90.00°, 123.63° and 90.00°. The asymmetric unit holds Ag at (0.210, 0.154, 0.342), Sn at (0.029, 0.227, 0.471), Sn at (0.143, 0.358, 0.835), Cl at (0.023, 0.353, 0.917), Cl at (0.088, 0.005, 0.135), Cl at (0.106, 0.343, 0.302), Cl at (0.174, 0.374, 0.665) and Cl at (0.220, 0.046, 0.000).

The total energy is -3.362 eV/atom. The value obtained for the raw formation energy is -0.851 eV/atom. Its volume is 2025.08 Å³/cell. As for the size of the total moment: 0.00 μB per cell.

=====

# 5
Compound: Ag3SnCl6
Source: the Alexandria database
Functional: GGA-PBE
Structure: relaxed

The structure belongs to space group P2_1/c (No. 14); the cell edges are 6.961, 6.868 and 12.502 Å and the angles 90.00°, 123.00° and 90.00°. The asymmetric unit holds Ag at (0.000, 0.000, 0.000), Ag at (0.231, 0.030, 0.744), Sn at (0.500, 0.000, 0.500), Cl at (0.144, 0.100, 0.263), Cl at (0.230, 0.675, 0.062) and Cl at (0.414, 0.173, 0.080).

The total energy is -2.961 eV/atom. The value obtained for the raw formation energy is -0.598 eV/atom. Its volume is 501.26 Å³/cell. The calculation puts the polymorph energy (0 for the lowest one) at 0.000 eV per atom. As for the size of the total moment: 0.00 μB per cell.

=====

# 6
Compound: Ag2SnCl8
Source: the Alexandria database
Functional: GGA-PBE
Structure: relaxed

The structure belongs to space group C2/m (No. 12); the cell edges are 11.997, 8.339 and 6.753 Å and the angles 90.00°, 104.26° and 90.00°. The asymmetric unit holds Ag at (0.229, 0.000, 0.247), Sn at (0.000, 0.000, 0.500), Cl at (0.082, 0.500, 0.787), Cl at (0.087, 0.202, 0.302) and Cl at (0.176, 0.000, 0.764).

The total energy is -2.689 eV/atom. The value obtained for the raw formation energy is -0.463 eV/atom. Its volume is 654.73 Å³/cell. As for the size of the total moment: 0.00 μB per cell.

=====

# 7
Compound: AgSnCl5
Source: the Alexandria database
Functional: GGA-PBE
Structure: relaxed

The structure belongs to space group C2/c (No. 15); the cell edges are 13.899, 6.705 and 9.818 Å and the angles 90.00°, 110.55° and 90.00°. The asymmetric unit holds Ag at (0.000, 0.054, 0.250), Sn at (0.000, 0.500, 0.000), Cl at (0.000, 0.336, 0.750), Cl at (0.111, 0.221, 0.487) and Cl at (0.148, 0.308, 0.129).

The total energy is -3.042 eV/atom. The value obtained for the raw formation energy is -0.744 eV/atom. Its volume is 856.74 Å³/cell. The calculation puts the polymorph energy (0 for the lowest one) at 0.000 eV per atom. As for the size of the total moment: 0.00 μB per cell.

=====

# 8
Compound: AgSnCl4
Source: the Alexandria database
Functional: GGA-PBE
Structure: relaxed

The structure belongs to space group P222 (No. 16); the cell edges are 6.535, 6.551 and 10.144 Å and the angles 90.00°, 90.00° and 90.00°. The asymmetric unit holds Ag at (0.000, 0.000, 0.000), Ag at (0.500, 0.500, 0.000), Sn at (0.000, 0.000, 0.500), Sn at (0.500, 0.000, 0.000), Cl at (0.208, 0.209, 0.373) and Cl at (0.240, 0.263, 0.871).

The total energy is -3.082 eV/atom. The value obtained for the raw formation energy is -0.708 eV/atom. Its volume is 434.23 Å³/cell. The calculation puts the polymorph energy (0 for the lowest one) at 0.009 eV per atom. As for the size of the total moment: 0.00 μB per cell.

=====

# 9
Compound: Ag2SnCl
Source: the Alexandria database
Functional: GGA-PBE
Structure: relaxed

The structure belongs to space group I-42d (No. 122); the cell edges are 7.786, 7.786 and 5.980 Å and the angles 90.00°, 90.00° and 90.00°. The asymmetric unit holds Ag at (0.248, 0.750, 0.125), Sn at (0.000, 0.000, 0.500) and Cl at (0.000, 0.000, 0.000).

The total energy is -2.926 eV/atom. The value obtained for the raw formation energy is -0.038 eV/atom. Its volume is 362.54 Å³/cell. The calculation puts the polymorph energy (0 for the lowest one) at 0.000 eV per atom. As for the size of the total moment: 0.00 μB per cell.

=====

# 10
Compound: Ag2SnCl6
Source: the Alexandria database
Functional: GGA-PBE
Structure: relaxed

The structure belongs to space group P2_1/c (No. 14); the cell edges are 6.715, 6.404 and 13.206 Å and the angles 90.00°, 120.51° and 90.00°. The asymmetric unit holds Ag at (0.184, 0.002, 0.184), Sn at (0.500, 0.000, 0.000), Cl at (0.183, 0.719, 0.344), Cl at (0.205, 0.228, 0.000) and Cl at (0.491, 0.719, 0.655).

The total energy is -3.028 eV/atom. The value obtained for the raw formation energy is -0.719 eV/atom. Its volume is 489.25 Å³/cell. As for the size of the total moment: 0.00 μB per cell.

=====

# 11
Compound: AgSnCl5
Source: the Alexandria database
Functional: GGA-PBE
Structure: relaxed

The structure belongs to space group Imm2 (No. 44); the cell edges are 8.326, 8.348 and 6.591 Å and the angles 90.00°, 90.00° and 90.00°. The asymmetric unit holds Ag at (0.000, 0.000, 0.000), Sn at (0.000, 0.500, 0.848), Cl at (0.000, 0.225, 0.725), Cl at (0.000, 0.500, 0.203) and Cl at (0.208, 0.000, 0.300).

The total energy is -3.038 eV/atom. The value obtained for the raw formation energy is -0.740 eV/atom. Its volume is 458.16 Å³/cell. The calculation puts the polymorph energy (0 for the lowest one) at 0.005 eV per atom. As for the size of the total moment: 0.00 μB per cell.

=====

# 12
Compound: Ag3SnCl7
Source: the Alexandria database
Functional: GGA-PBE
Structure: relaxed

The structure belongs to space group Cm (No. 8); the cell edges are 8.889, 10.330 and 6.816 Å and the angles 90.00°, 105.31° and 90.00°. The asymmetric unit holds Ag at (0.000, 0.000, 0.000), Ag at (0.015, 0.250, 0.390), Sn at (0.023, 0.500, 0.896), Cl at (0.035, 0.000, 0.378), Cl at (0.160, 0.327, 0.136), Cl at (0.244, 0.500, 0.732), Cl at (0.309, 0.000, 0.064) and Cl at (0.391, 0.175, 0.661).

The total energy is -2.941 eV/atom. The value obtained for the raw formation energy is -0.624 eV/atom. Its volume is 603.62 Å³/cell. As for the size of the total moment: 0.00 μB per cell.

=====

# 13
Compound: AgSn2Cl6
Source: the Alexandria database
Functional: GGA-PBE
Structure: relaxed

The structure belongs to space group P4_2/mnm (No. 136); the cell edges are 6.512, 6.512 and 12.318 Å and the angles 90.00°, 90.00° and 90.00°. The asymmetric unit holds Ag at (0.000, 0.000, 0.000), Sn at (0.000, 0.000, 0.333), Cl at (0.198, 0.198, 0.500) and Cl at (0.202, 0.202, 0.168).

The total energy is -3.245 eV/atom. The value obtained for the raw formation energy is -0.807 eV/atom. Its volume is 522.44 Å³/cell. As for the size of the total moment: 0.00 μB per cell.

=====

# 14
Compound: AgSnCl4
Source: the Alexandria database
Functional: GGA-PBE
Structure: relaxed

The structure belongs to space group I-4m2 (No. 119); the cell edges are 5.286, 5.286 and 12.694 Å and the angles 90.00°, 90.00° and 90.00°. The asymmetric unit holds Ag at (0.000, 0.000, 0.000), Sn at (0.000, 0.500, 0.250), Cl at (0.000, 0.000, 0.239) and Cl at (0.000, 0.500, 0.046).

The total energy is -3.091 eV/atom. The value obtained for the raw formation energy is -0.717 eV/atom. Its volume is 354.72 Å³/cell. The calculation puts the polymorph energy (0 for the lowest one) at 0.000 eV per atom. As for the size of the total moment: 0.00 μB per cell.

=====

# 15
Compound: Ag3Sn2Cl7
Source: the Alexandria database
Functional: GGA-PBE
Structure: relaxed

The structure belongs to space group Cmc2_1 (No. 36); the cell edges are 24.832, 7.298 and 7.220 Å and the angles 90.00°, 90.00° and 90.00°. The asymmetric unit holds Ag at (0.000, 0.244, 0.000), Ag at (0.204, 0.187, 0.950), Sn at (0.101, 0.273, 0.496), Cl at (0.000, 0.418, 0.308), Cl at (0.079, 0.060, 0.851), Cl at (0.149, 0.386, 0.186) and Cl at (0.205, 0.154, 0.591).

The total energy is -3.168 eV/atom. The value obtained for the raw formation energy is -0.711 eV/atom. Its volume is 1308.41 Å³/cell. As for the size of the total moment: 0.00 μB per cell.

=====

# 16
Compound: Ag3SnCl8
Source: the Alexandria database
Functional: GGA-PBE
Structure: relaxed

The structure belongs to space group C222 (No. 21); the cell edges are 7.181, 11.736 and 7.766 Å and the angles 90.00°, 90.00° and 90.00°. The asymmetric unit holds Ag at (0.000, 0.000, 0.000), Ag at (0.250, 0.250, 0.763), Sn at (0.000, 0.000, 0.500), Cl at (0.000, 0.214, 0.500), Cl at (0.000, 0.218, 0.000) and Cl at (0.247, 0.006, 0.720).

The total energy is -2.893 eV/atom. The value obtained for the raw formation energy is -0.616 eV/atom. Its volume is 654.48 Å³/cell. As for the size of the total moment: 0.63 μB per cell.

=====

# 17
Compound: Ag4SnCl6
Source: the Alexandria database
Functional: GGA-PBE
Structure: relaxed

The structure belongs to space group P1 (No. 1); the cell edges are 5.250, 5.329 and 10.641 Å and the angles 83.35°, 81.16° and 89.91°. The asymmetric unit holds Ag at (0.000, 0.000, 0.000), Ag at (0.105, 0.566, 0.680), Ag at (0.493, 0.502, 0.013), Ag at (0.614, 0.075, 0.680), Sn at (0.479, 0.845, 0.362), Cl at (0.025, 0.514, 0.930), Cl at (0.129, 0.082, 0.624), Cl at (0.459, 0.425, 0.260), Cl at (0.524, 0.018, 0.932), Cl at (0.635, 0.597, 0.584) and Cl at (0.952, 0.920, 0.250).

The total energy is -2.963 eV/atom. The value obtained for the raw formation energy is -0.555 eV/atom. Its volume is 292.17 Å³/cell. As for the size of the total moment: 0.00 μB per cell.

=====

# 18
Compound: Ag2Sn5Cl12
Source: the Alexandria database
Functional: GGA-PBE
Structure: relaxed

The structure belongs to space group C2/m (No. 12); the cell edges are 16.175, 7.741 and 9.693 Å and the angles 90.00°, 108.30° and 90.00°. The asymmetric unit holds Ag at (0.000, 0.201, 0.000), Sn at (0.000, 0.000, 0.500), Sn at (0.167, 0.500, 0.376), Sn at (0.181, 0.500, 0.890), Cl at (0.000, 0.500, 0.207), Cl at (0.021, 0.000, 0.792), Cl at (0.140, 0.258, 0.549) and Cl at (0.173, 0.273, 0.090).

The total energy is -3.372 eV/atom. The value obtained for the raw formation energy is -0.853 eV/atom. Its volume is 1152.32 Å³/cell. As for the size of the total moment: 0.00 μB per cell.